## CrSbW2 (PBEsol)

Data for a relaxed structure of CrSbW2.

Properties
DOS at the Fermi energy (states/eV/atom): 0.77
Raw formation energy (meV per atom): 482

Cell: 3.2558 4.3623 4.4137 Å, 90.00 90.00 90.00°
Element x y z (fractional)
Cr 0.0000 0.0000 0.0000
Sb 0.5000 0.5000 0.0000
W 0.0000 0.5000 0.5000
W 0.5000 0.0000 0.5000